[1]
Zr2CdHg: optimized geometry, PBE.

Structure (extended XYZ):
```
4
Lattice="4.351 0.000 0.000 0.000 3.255 0.010 0.000 3.246 6.112" Properties=species:S:1:pos:R:3 pbc="T T T"
Hg 2.175 4.876 4.592
Zr 0.000 3.246 6.102
Zr 0.000 3.251 3.071
Cd 2.175 1.625 1.531
```

**Formation energy from the elements**: -0.148 eV per atom
**Space-group type**: P2/m (10)
**DFT total energy**: -4.726 eV/atom
**Calculated volume**: 21.6 Å³ per atom

---

[2]
Ba2CaSn2As4: optimized geometry, PBE.

Structure (extended XYZ):
```
9
Lattice="-1.582 4.164 2.189 -2.059 -6.318 4.902 6.873 1.685 1.762" Properties=species:S:1:pos:R:3 pbc="T T T"
Ba 0.014 -0.302 6.211
Ba 3.217 -0.167 2.642
Ca 0.000 0.000 0.000
Sn 4.758 -1.228 5.775
Sn -1.526 0.760 3.079
As 3.116 0.965 6.042
As 0.116 -1.434 2.812
As -0.856 -3.633 6.291
As 4.088 3.164 2.563
```

**Formation energy from the elements**: -0.720 eV per atom
**Space-group type**: C2/m (12)
**DFT total energy**: -4.326 eV/atom
**Calculated volume**: 30.4 Å³ per atom

---

[3]
ZrAl2S6: optimized geometry, PBE.

Structure (extended XYZ):
```
18
Lattice="6.853 -0.255 -0.247 1.688 8.028 -0.479 1.688 -0.219 8.040" Properties=species:S:1:pos:R:3 pbc="T T T"
Zr 3.401 0.608 7.058
Zr 6.827 6.946 0.255
Al 3.589 4.542 5.850
Al 3.212 1.688 3.087
Al 6.638 3.012 1.464
Al 7.016 5.866 4.226
S 4.876 4.802 3.838
S 1.925 3.690 2.762
S 5.351 2.752 3.475
S 8.303 3.864 4.551
S 7.735 7.054 2.543
S 5.919 4.656 0.222
S 2.493 0.500 4.770
S 4.309 2.898 7.091
S 3.647 6.419 7.005
S 3.155 0.473 1.248
S 6.581 1.135 0.309
S 7.073 7.081 6.065
```

**Space-group type**: C2/c (15)
**DFT total energy**: -5.465 eV/atom
**Uncorrected formation energy**: -0.93 eV/atom
**Calculated volume**: 24.9 Å³ per atom